# NpBeFe2O6

A geometry-optimized NpBeFe2O6 structure (PBE+U, Alexandria).

Unit cell a=5.618 b=5.618 c=4.928 alpha=111.92 beta=111.92 gamma=57.49
Fractional positions:
Np 0.000 0.000 0.000
Be 0.500 0.500 0.500
Fe 0.244 0.244 0.644
Fe 0.756 0.756 0.356
O 0.189 0.641 0.636
O 0.196 0.196 0.003
O 0.359 0.811 0.364
O 0.641 0.189 0.636
O 0.804 0.804 0.997
O 0.811 0.359 0.364

Output
**Total magnetic moment**: 7.00 μB per formula unit
**Final energy**: -7.800 eV/atom